Crystalline BeCo2Ge at its relaxed geometry, computed with PBE.

abc: 4.966 4.966 6.025
angles: 65.66 65.66 90.00
Fractional coordinates of all 8 atoms:
1 Be 0.500 0.500 0.000
2 Be 0.250 0.750 0.500
3 Ge 0.000 0.000 0.000
4 Ge 0.750 0.250 0.500
5 Co 0.375 0.420 0.750
6 Co 0.875 0.830 0.750
7 Co 0.170 0.625 0.250
8 Co 0.580 0.125 0.250

Results
Calculated formation energy (eV/atom): 0.85
Electronic total energy (eV/atom): -4.7936
Crystal system: tetragonal